This record from Alexandria via LeMat-Bulk describes a relaxed structure of LiHoMgIr. The functional is PBE.

Output
Size of the total moment, μB per formula unit: 0.00
ΔE_f, meV/atom: -466
DOS(E_F), states/eV per cell: 2.106

Lattice parameters (Å, degrees): 4.728 4.728 4.728 60.00 60.00 60.00
Element x y z (fractional)
Li1 0.000 0.000 0.000
Ho1 0.750 0.750 0.750
Mg1 0.250 0.250 0.250
Ir1 0.500 0.500 0.500